Entry 1:
A geometry-optimized Dy6PtSe4 structure. Source: Alexandria via LeMat-Bulk, functional PBE-GGA.

* size of the total moment: 0.00 μB per atom
* crystal system: orthorhombic
* VASP energy: -128.834 eV/cell
* E_form (uncorrected): -1.530 eV per atom

Unit cell a=3.9572 b=6.9749 c=20.7813 alpha=90.00 beta=90.00 gamma=106.48
Sites, in units of the cell vectors:
Pt 0.3317 0.6634 0.7500
Dy 0.9345 0.8691 0.6688
Dy 0.2274 0.4549 0.9060
Dy 0.7726 0.5451 0.4060
Dy 0.6777 0.3554 0.7500
Dy 0.0655 0.1309 0.3312
Dy 0.3223 0.6446 0.2500
Se 0.5814 0.1628 0.6258
Pt 0.6683 0.3366 0.2500
Se 0.5814 0.1628 0.8742
Se 0.1427 0.2855 0.0374
Dy 0.2274 0.4549 0.5940
Se 0.4186 0.8372 0.1258
Dy 0.0655 0.1309 0.1688
Se 0.8573 0.7145 0.9626
Dy 0.5000 0.0000 0.0000
Dy 0.5000 0.0000 0.5000
Dy 0.9345 0.8691 0.8312
Se 0.4186 0.8372 0.3742
Se 0.8573 0.7145 0.5374
Dy 0.7726 0.5451 0.0940
Se 0.1427 0.2855 0.4626

---

Entry 2:
A geometry-optimized LaNbCuSb2 structure. Source: Alexandria via LeMat-Bulk, functional PBE-GGA.

* size of the total moment: 0.27 μB per atom
* crystal system: tetragonal
* VASP energy: -19.498 eV/cell
* E_form (uncorrected): 1.568 eV per atom

Unit cell a=5.9661 b=5.1667 c=5.9661 alpha=90.00 beta=90.00 gamma=90.00
Last column: magnetic moment on the atom in μB.
Sites, in units of the cell vectors:
Sb 0.5000 0.0000 0.0000  -0.04
La 0.0000 0.0000 0.0000  0.05
Sb 0.0000 0.0000 0.5000  -0.01
Nb 0.0000 0.5000 0.0000  1.11
Cu 0.5000 0.5000 0.5000  -0.01

---

Entry 3:
A geometry-optimized SiHgSe structure. Source: Alexandria via LeMat-Bulk, functional PBE-GGA.

* size of the total moment: 0.00 μB per atom
* crystal system: trigonal
* polymorph energy (0 for the lowest one): 488 meV per atom
* VASP energy: -7.915 eV/cell
* E_form (uncorrected): 0.432 eV per atom

Unit cell a=5.0767 b=5.0767 c=2.8590 alpha=90.00 beta=90.00 gamma=120.00
Sites, in units of the cell vectors:
Si 0.3333 0.6667 0.5141
Hg 0.0000 0.0000 0.9760
Se 0.6667 0.3333 0.5098

---

Entry 4:
A geometry-optimized Rb2CdB structure. Source: Alexandria via LeMat-Bulk, functional PBE-GGA.

* size of the total moment: 0.00 μB per atom
* crystal system: tetragonal
* polymorph energy (0 for the lowest one): 0 meV per atom
* formation energy from the elements: 0.557 eV/atom
* VASP energy: -14.603 eV/cell

Unit cell a=12.9407 b=12.9407 c=9.4053 alpha=46.53 beta=46.53 gamma=90.00
Sites, in units of the cell vectors:
Rb 0.3750 0.5696 0.7500
Cd 0.7500 0.2500 0.5000
B 0.2500 0.7500 0.5000
Rb 0.8750 0.6804 0.7500
Rb 0.4304 0.1250 0.2500
Cd 0.0000 0.0000 0.0000
Rb 0.3196 0.6250 0.2500
B 0.5000 0.5000 0.0000

---

Entry 5:
A geometry-optimized LiAgAu2 structure. Source: Alexandria via LeMat-Bulk, functional PBE-GGA.

* size of the total moment: 0.00 μB per atom
* crystal system: tetragonal
* polymorph energy (0 for the lowest one): 199 meV per atom
* formation energy from the elements: -0.112 eV/atom
* VASP energy: -23.539 eV/cell

Unit cell a=3.9181 b=3.9181 c=10.0553 alpha=78.77 beta=78.77 gamma=90.00
Sites, in units of the cell vectors:
Li 0.5000 0.5000 0.0000
Au 0.6220 0.1250 0.2500
Ag 0.7500 0.2500 0.5000
Au 0.1280 0.6250 0.2500
Au 0.3750 0.3780 0.7500
Au 0.8750 0.8720 0.7500
Li 0.2500 0.7500 0.5000
Ag 0.0000 0.0000 0.0000

---

Entry 6:
A geometry-optimized TlNiS2N structure. Source: Alexandria via LeMat-Bulk, functional PBE-GGA.

* size of the total moment: 0.00 μB per atom
* crystal system: tetragonal
* polymorph energy (0 for the lowest one): 0 meV per atom
* VASP energy: -22.208 eV/cell
* E_form (uncorrected): 0.504 eV per atom

Unit cell a=4.9143 b=4.9143 c=3.4805 alpha=90.00 beta=90.00 gamma=90.00
Sites, in units of the cell vectors:
S 0.0000 0.5000 0.0000
Tl 0.5000 0.5000 0.5000
Ni 0.0000 0.0000 0.0000
S 0.5000 0.0000 0.0000
N 0.0000 0.0000 0.5000

---

Entry 7:
A geometry-optimized Li4Ca5Tl structure. Source: Alexandria via LeMat-Bulk, functional PBE-GGA.

* size of the total moment: 0.00 μB per atom
* crystal system: tetragonal
* formation energy from the elements: -0.083 eV/atom
* VASP energy: -20.863 eV/cell

Unit cell a=3.9611 b=3.9611 c=19.5803 alpha=90.00 beta=90.00 gamma=90.00
Sites, in units of the cell vectors:
Li 0.0000 0.0000 0.6008
Li 0.0000 0.0000 0.8042
Li 0.0000 0.0000 0.1958
Ca 0.5000 0.5000 0.0947
Ca 0.5000 0.5000 0.5000
Ca 0.5000 0.5000 0.2983
Ca 0.5000 0.5000 0.9053
Li 0.0000 0.0000 0.3992
Tl 0.0000 0.0000 0.0000
Ca 0.5000 0.5000 0.7017

---

Entry 8:
A geometry-optimized Li2MgUF8 structure. Source: Alexandria via LeMat-Bulk, functional PBE-GGA.

* size of the total moment: 0.17 μB per atom
* crystal system: triclinic
* VASP energy: -71.445 eV/cell
* E_form (uncorrected): -3.314 eV per atom

Unit cell a=4.7426 b=4.7575 c=6.8826 alpha=88.60 beta=88.73 gamma=88.46
Last column: magnetic moment on the atom in μB.
Sites, in units of the cell vectors:
F 0.7114 0.7131 0.0061  0.00
F 0.8037 0.2021 0.7623  -0.01
F 0.2886 0.2868 0.9939  0.00
F 0.8003 0.1982 0.2369  -0.01
Li 0.5148 0.5147 0.8124  0.00
F 0.6866 0.6910 0.5291  -0.02
U 0.0000 0.0000 0.5000  2.01
F 0.3134 0.3090 0.4709  -0.02
Mg 0.0000 0.0000 0.0000  0.00
F 0.1963 0.7979 0.2377  -0.01
F 0.1997 0.8018 0.7631  -0.01
Li 0.4852 0.4853 0.1876  0.00